(1)
NdTm4Ag | GGA-PBE | optimized geometry

extended XYZ file:
```
6
Lattice="3.537 0.000 0.000 0.000 3.537 0.000 0.000 0.000 13.788" Properties=species:S:1:pos:R:3 pbc="T T T"
Nd 0.000 0.000 0.000
Tm 0.000 0.000 5.033
Tm 0.000 0.000 8.755
Tm 1.769 1.769 2.548
Tm 1.769 1.769 11.240
Ag 1.769 1.769 6.894
```

Output
DFT formation energy: -0.0749 eV/atom
Energy above the lowest structure with this stoichiometry: 0.000 eV/atom

(2)
MnNiBr2 | GGA-PBE | optimized geometry

extended XYZ file:
```
4
Lattice="0.000 3.167 3.167 3.167 0.000 3.167 3.167 3.167 0.000" Properties=species:S:1:pos:R:3 pbc="T T T"
Mn 0.000 0.000 0.000
Ni 3.167 3.167 3.167
Br 1.584 1.584 1.584
Br 4.751 4.751 4.751
```

Output
Energy above the lowest structure with this stoichiometry: 1.061 eV/atom
ΔE_f (raw): 0.851 eV/atom

(3)
Ce4GeAu | GGA-PBE | optimized geometry

extended XYZ file:
```
12
Lattice="8.314 -2.653 0.000 8.314 2.653 0.000 -1.863 0.000 7.226" Properties=species:S:1:pos:R:3 pbc="T T T"
Ce 6.201 2.052 3.867
Ce 4.036 1.019 6.501
Ce 7.631 2.052 6.972
Ce 9.797 1.019 4.338
Ce 4.967 -1.019 2.888
Ce 7.133 -2.052 0.254
Ce 10.728 -1.019 0.725
Ce 8.563 -2.052 3.359
Ge 7.848 0.549 1.806
Ge 6.916 -0.549 5.419
Au 3.225 1.326 3.613
Au 4.157 -1.326 0.000
```

Output
DFT formation energy: -0.3624 eV/atom
Energy above the lowest structure with this stoichiometry: 0.050 eV/atom

(4)
Ac3IrI3 | GGA-PBE | optimized geometry

extended XYZ file:
```
14
Lattice="10.016 0.000 0.000 0.000 4.422 0.000 -0.770 0.000 13.229" Properties=species:S:1:pos:R:3 pbc="T T T"
Ac 0.557 1.105 5.216
Ac 0.569 1.105 11.146
Ac 2.700 3.316 8.260
Ac 6.547 1.105 4.969
Ac 8.678 3.316 2.083
Ac 8.690 3.316 8.013
Ir 0.711 1.105 8.240
Ir 8.535 3.316 4.989
I 1.273 1.105 1.512
I 3.134 3.316 11.656
I 3.618 3.316 4.891
I 5.628 1.105 8.338
I 6.113 1.105 1.572
I 7.973 3.316 11.717
```

Output
Energy above the lowest structure with this stoichiometry: 0.000 eV/atom
ΔE_f (raw): -1.210 eV/atom

(5)
CaFe2Hg | GGA-PBE | optimized geometry

extended XYZ file:
```
4
Lattice="2.961 -4.097 0.000 2.961 4.097 0.000 0.000 0.000 3.007" Properties=species:S:1:pos:R:3 pbc="T T T"
Ca 0.000 0.000 0.000
Fe 1.481 2.048 1.504
Fe 1.481 -2.048 1.504
Hg 2.961 0.000 0.000
```

Output
DFT formation energy: 0.5955 eV/atom

(6)
NbNiS2 | GGA-PBE | optimized geometry

extended XYZ file:
```
8
Lattice="-2.696 2.696 5.083 2.696 -2.696 5.083 2.696 2.696 -5.083" Properties=species:S:1:pos:R:3 pbc="T T T"
Nb 0.000 0.000 0.000
Nb 0.000 2.696 2.541
Ni 2.696 0.000 2.541
Ni 0.000 0.000 5.083
S 1.348 -1.197 3.812
S 1.499 1.348 1.271
S 1.348 3.893 -1.271
S 1.197 1.348 6.353
```

Output
ΔE_f (raw): -0.501 eV/atom

(7)
SrCdRu2 | GGA-PBE | optimized geometry

extended XYZ file:
```
4
Lattice="3.560 0.000 0.000 0.000 3.560 0.000 0.000 0.000 6.777" Properties=species:S:1:pos:R:3 pbc="T T T"
Sr 0.000 0.000 0.000
Cd 0.000 0.000 3.388
Ru 1.780 1.780 2.141
Ru 1.780 1.780 4.635
```

Output
DFT formation energy: 0.6062 eV/atom

(8)
Sr2Ca2Be | GGA-PBE | optimized geometry

extended XYZ file:
```
10
Lattice="7.904 0.000 0.000 0.000 7.904 0.000 0.000 0.000 6.421" Properties=species:S:1:pos:R:3 pbc="T T T"
Sr 1.403 2.549 0.000
Sr 2.549 6.501 0.000
Sr 5.355 1.403 0.000
Sr 6.501 5.355 0.000
Ca 1.272 5.225 3.210
Ca 2.680 1.272 3.210
Ca 5.225 6.632 3.210
Ca 6.632 2.680 3.210
Be 0.000 0.000 3.210
Be 3.952 3.952 3.210
```

Output
DFT formation energy: 0.3766 eV/atom
Energy above the lowest structure with this stoichiometry: 0.000 eV/atom

(9)
LiZrAgAu | GGA-PBE | optimized geometry

extended XYZ file:
```
4
Lattice="0.000 3.321 3.321 3.321 0.000 3.321 3.321 3.321 0.000" Properties=species:S:1:pos:R:3 pbc="T T T"
Li 0.000 0.000 0.000
Zr 3.321 3.321 3.321
Ag 4.982 4.982 4.982
Au 1.661 1.661 1.661
```

Output
DFT formation energy: -0.2872 eV/atom

(10)
LiNbNF2 | GGA-PBE | optimized geometry

extended XYZ file:
```
5
Lattice="3.275 0.000 0.000 0.000 3.275 0.000 0.000 0.000 4.435" Properties=species:S:1:pos:R:3 pbc="T T T"
Li 0.000 0.000 0.000
Nb 1.638 1.638 2.217
N 0.000 0.000 2.217
F 0.000 1.638 0.000
F 1.638 0.000 0.000
```

Output
Energy above the lowest structure with this stoichiometry: 0.329 eV/atom
ΔE_f (raw): -1.261 eV/atom

(11)
SrIn3Au | GGA-PBE | optimized geometry

extended XYZ file:
```
5
Lattice="3.240 -3.250 0.000 3.240 3.250 0.000 -3.200 0.000 6.432" Properties=species:S:1:pos:R:3 pbc="T T T"
Sr 0.000 0.000 0.000
In 1.635 1.630 2.969
In 0.026 0.000 4.929
In 1.635 -1.630 2.969
Au 3.249 0.000 1.228
```

Output
DFT formation energy: -0.4464 eV/atom

(12)
SmEr4Te2 | GGA-PBE | optimized geometry

extended XYZ file:
```
7
Lattice="2.705 1.562 8.864 -2.705 1.562 8.864 0.000 -3.124 8.864" Properties=species:S:1:pos:R:3 pbc="T T T"
Sm 0.000 0.000 0.000
Er 0.000 0.000 6.251
Er 0.000 0.000 9.733
Er 0.000 0.000 16.860
Er 0.000 0.000 20.341
Te 0.000 0.000 3.150
Te 0.000 0.000 23.442
```

Output
ΔE_f (raw): -0.470 eV/atom

Quick rundown of D(E_F), same order as above: 8.6, 7.5, 31.2, 7.2, 4.5, 4.8, 4.4, 9.7, 3.8, 2.8, 2.0, 5.7 states/eV per cell
Quick rundown of final energy, same order as above: -4.326, -3.723, -5.634, -4.901, -4.212, -6.528, -4.681, -1.842, -4.435, -6.071, -3.081, -4.649 eV/atom